Arrangement P

## NiIrBr2 (GGA-PBE)

Data for a geometry-optimized NiIrBr2 structure.

Cell lengths 7.9219, 7.9219, 7.9219 Å; angles 155.83, 153.90, 35.87 degrees
Last column: nearest neighbours and their distance in Å.
Element x y z (fractional)
Br (0.7491, 0.2491, 0.5000)  4 Ni 2.62
Ir (0.4409, 0.4409, 0.0000)  2 Ni 2.54, 4 Br 2.58
Br (0.9968, 0.9968, 0.0000)  4 Ir 2.58
Ni (0.3132, 0.8132, 0.5000)  2 Ir 2.54, 4 Br 2.62

Calculated values
space group	Imm2 (44)
size of the total moment	0.94	μB/cell

Arrangement Q

## NiIrBr2 (GGA-PBE)

Data for a geometry-optimized NiIrBr2 structure.

Cell lengths 3.2729, 3.2729, 7.7888 Å; angles 90.00, 90.00, 90.00 degrees
Last column: nearest neighbours and their distance in Å.
Element x y z (fractional)
Ir (0.0000, 0.0000, 0.5585)  5 Br 2.61-2.91, 4 Ni 2.62
Br (0.5000, 0.5000, 0.3313)  4 Ir 2.91, 1 Ni 3.00
Ni (0.5000, 0.5000, 0.7168)  4 Ir 2.62, 4 Br 2.69
Br (0.0000, 0.0000, 0.8934)  1 Ir 2.61, 4 Ni 2.69

Calculated values
space group	P4mm (99)
size of the total moment	2.71	μB/cell

The data favor arrangement Q; the next most stable structure lies 3.2 kJ/mol of atoms above it.

Arrangement P

## NiIrBr2 (GGA-PBE)

Data for a geometry-optimized NiIrBr2 structure.

Cell lengths 3.2033, 3.2030, 6.6264 Å; angles 90.00, 90.00, 90.00 degrees
Last column: nearest neighbours and their distance in Å.
Element x y z (fractional)
Br (0.0000, 0.0000, 0.9918)  4 Ni 2.77, 4 Ir 2.84
Br (0.0000, 0.0000, 0.5082)  4 Ni 2.77, 4 Ir 2.84
Ir (0.5000, 0.5000, 0.2500)  8 Br 2.84
Ni (0.5000, 0.5000, 0.7500)  8 Br 2.77

Calculated values
space group	P4/mmm (123)
size of the total moment	0.01	μB/cell

Arrangement Q

## NiIrBr2 (GGA-PBE)

Data for a geometry-optimized NiIrBr2 structure.

Cell lengths 3.3615, 3.3615, 8.0708 Å; angles 90.00, 90.00, 125.16 degrees
Last column: nearest neighbours and their distance in Å.
Element x y z (fractional)
Ni (0.5000, 0.5000, 0.7500)  4 Br 2.44
Ir (0.5000, 0.5000, 0.2500)  4 Br 2.64
Br (0.0000, 0.0000, 0.5156)  2 Ni 2.44, 2 Ir 2.64
Br (0.0000, 0.0000, 0.9844)  2 Ni 2.44, 2 Ir 2.64

Calculated values
space group	Cmmm (65)
size of the total moment	0.39	μB/cell

The data favor arrangement Q; the next most stable structure lies 20.8 kJ/mol of atoms above it.

Arrangement P

## NiIrBr2 (GGA-PBE)

Data for a geometry-optimized NiIrBr2 structure.

Cell lengths 3.6559, 4.7459, 6.8928 Å; angles 131.18, 90.00, 90.00 degrees
Last column: nearest neighbours and their distance in Å.
Element x y z (fractional)
Br (0.0000, 0.2439, 0.4920)  2 Ir 2.49, 2 Ni 2.58
Ir (0.5000, 0.2500, 0.2500)  4 Br 2.49, 2 Ni 2.60
Ni (0.5000, 0.7500, 0.7500)  4 Br 2.58, 2 Ir 2.60
Br (0.0000, 0.2561, 0.0080)  2 Ir 2.49, 2 Ni 2.58

Calculated values
space group	P2/m (10)
size of the total moment	0.69	μB/cell

Arrangement Q

## NiIrBr2 (GGA-PBE)

Data for a geometry-optimized NiIrBr2 structure.

Cell lengths 3.7274, 4.7499, 4.7447 Å; angles 65.01, 90.00, 90.00 degrees
Last column: nearest neighbours and their distance in Å.
Element x y z (fractional)
Ni (0.5000, 0.7292, 0.7293)  2 Ir 2.51, 4 Br 2.57-2.62
Br (0.0000, 0.9509, 0.9511)  2 Ni 2.57, 2 Ir 2.61
Br (0.5000, 0.3013, 0.3008)  2 Ir 2.55, 2 Ni 2.61-2.62
Ir (0.0000, 0.5186, 0.5189)  2 Ni 2.51, 4 Br 2.55-2.61

Calculated values
space group	Amm2 (38)
size of the total moment	0.00	μB/cell

Arrangement R

## NiIrBr2 (GGA-PBE)

Data for a geometry-optimized NiIrBr2 structure.

Cell lengths 5.2784, 5.2784, 5.2784 Å; angles 145.25, 108.36, 82.15 degrees
Last column: nearest neighbours and their distance in Å.
Element x y z (fractional)
Br (0.0056, 0.0056, 0.0000)  2 Ni 2.50, 2 Ir 2.57
Br (0.4944, 0.4944, 0.0000)  2 Ni 2.50, 2 Ir 2.57
Ni (0.2500, 0.7500, 0.5000)  4 Br 2.50
Ir (0.7500, 0.2500, 0.5000)  4 Br 2.57

Calculated values
space group	Immm (71)
size of the total moment	1.12	μB/cell

The data favor arrangement Q; the next most stable structure lies 10.6 kJ/mol of atoms above it.

Arrangement P

## NiIrBr (GGA-PBE)

Data for a geometry-optimized NiIrBr structure.

Cell lengths 4.2236, 4.2236, 4.2236 Å; angles 60.00, 60.00, 60.00 degrees
Last column: nearest neighbours and their distance in Å.
Element x y z (fractional)
Ni (0.2500, 0.2500, 0.2500)  4 Ir 2.59, 4 Br 2.59
Br (0.0000, 0.0000, 0.0000)  4 Ni 2.59
Ir (0.5000, 0.5000, 0.5000)  4 Ni 2.59

Calculated values
space group	F-43m (216)
size of the total moment	1.81	μB/cell

Arrangement Q

## NiIrBr (GGA-PBE)

Data for a geometry-optimized NiIrBr structure.

Cell lengths 7.0614, 6.7384, 2.9342 Å; angles 83.97, 71.62, 24.41 degrees
Last column: nearest neighbours and their distance in Å.
Element x y z (fractional)
Ir (0.6824, 0.6824, 0.3176)  2 Ni 2.45
Br (0.9846, 0.9846, 0.0154)  2 Ni 2.46
Ni (0.3330, 0.3330, 0.6670)  2 Ir 2.45, 2 Br 2.46

Calculated values
space group	Fmm2 (42)
size of the total moment	0.62	μB/cell

Arrangement R

## NiIrBr (GGA-PBE)

Data for a geometry-optimized NiIrBr structure.

Cell lengths 6.0206, 6.0206, 6.0206 Å; angles 151.30, 151.30, 41.03 degrees
Last column: nearest neighbours and their distance in Å.
Element x y z (fractional)
Br (0.9950, 0.9950, 0.0000)  4 Ir 2.93, 4 Br 2.98, 4 Ni 3.05
Ni (0.6902, 0.6902, 0.0000)  4 Ir 2.53
Ir (0.3148, 0.3148, 0.0000)  4 Ni 2.53

Calculated values
space group	I4mm (107)
size of the total moment	1.86	μB/cell

Arrangement S

## NiIrBr (GGA-PBE)

Data for a geometry-optimized NiIrBr structure.

Cell lengths 4.2527, 4.2527, 4.2527 Å; angles 60.00, 60.00, 60.00 degrees
Last column: nearest neighbours and their distance in Å.
Element x y z (fractional)
Br (0.5000, 0.5000, 0.5000)  4 Ir 2.60
Ir (0.2500, 0.2500, 0.2500)  4 Ni 2.60, 4 Br 2.60
Ni (0.0000, 0.0000, 0.0000)  4 Ir 2.60

Calculated values
space group	F-43m (216)
size of the total moment	1.75	μB/cell

The data favor arrangement Q; the next most stable structure lies 0.9 kJ/mol of atoms above it.

Arrangement P

## NiIr3Br (GGA-PBE)

Data for a geometry-optimized NiIr3Br structure.

Cell lengths 4.5717, 4.5717, 4.5717 Å; angles 90.00, 90.00, 90.00 degrees
Last column: nearest neighbours and their distance in Å.
Element x y z (fractional)
Br (0.5000, 0.5000, 0.5000)  12 Ir 3.23
Ni (0.0000, 0.0000, 0.0000)  6 Ir 2.29
Ir (0.0000, 0.5000, 0.0000)  2 Ni 2.29
Ir (0.5000, 0.0000, 0.0000)  2 Ni 2.29
Ir (0.0000, 0.0000, 0.5000)  2 Ni 2.29

Calculated values
space group	Pm-3m (221)
size of the total moment	4.81	μB/cell

Arrangement Q

## NiIr3Br (GGA-PBE)

Data for a geometry-optimized NiIr3Br structure.

Cell lengths 4.5768, 4.5768, 4.5768 Å; angles 90.00, 90.00, 90.00 degrees
Last column: nearest neighbours and their distance in Å.
Element x y z (fractional)
Ir (0.5000, 0.0000, 0.0000)  2 Br 2.29
Ni (0.5000, 0.5000, 0.5000)  12 Ir 3.24
Br (0.0000, 0.0000, 0.0000)  6 Ir 2.29
Ir (0.0000, 0.5000, 0.0000)  2 Br 2.29
Ir (0.0000, 0.0000, 0.5000)  2 Br 2.29

Calculated values
space group	Pm-3m (221)
size of the total moment	0.00	μB/cell

The data favor arrangement P; the next most stable structure lies 29.7 kJ/mol of atoms above it.

Arrangement P

## NiIrSe2Br (GGA-PBE)

Data for a geometry-optimized NiIrSe2Br structure.

Cell lengths 4.6514, 4.6514, 4.6539 Å; angles 90.00, 90.00, 90.00 degrees
Last column: nearest neighbours and their distance in Å.
Element x y z (fractional)
Se (0.0000, 0.5000, 0.0000)  2 Ni 2.33
Ir (0.5000, 0.5000, 0.5000)  4 Br 3.29, 8 Se 3.29
Br (0.0000, 0.0000, 0.5000)  2 Ni 2.33
Se (0.5000, 0.0000, 0.0000)  2 Ni 2.33
Ni (0.0000, 0.0000, 0.0000)  4 Se 2.33, 2 Br 2.33

Calculated values
space group	P4/mmm (123)
size of the total moment	1.20	μB/cell

Arrangement Q

## NiIrSe2Br (GGA-PBE)

Data for a geometry-optimized NiIrSe2Br structure.

Cell lengths 4.8519, 4.8519, 5.2110 Å; angles 90.00, 90.00, 90.00 degrees
Last column: nearest neighbours and their distance in Å.
Element x y z (fractional)
Se (0.0000, 0.5000, 0.0000)  2 Ir 2.43
Ir (0.0000, 0.0000, 0.0000)  4 Se 2.43, 2 Br 2.61
Se (0.5000, 0.0000, 0.0000)  2 Ir 2.43
Br (0.0000, 0.0000, 0.5000)  2 Ir 2.61
Ni (0.5000, 0.5000, 0.5000)  4 Br 3.43, 8 Se 3.56

Calculated values
space group	P4/mmm (123)
size of the total moment	1.38	μB/cell

The data favor arrangement Q; the next most stable structure lies 12.4 kJ/mol of atoms above it.

Arrangement P

## IrSeBr2O (GGA-PBE)

Data for a geometry-optimized IrSeBr2O structure.

Cell lengths 4.7121, 4.7121, 4.2819 Å; angles 90.00, 90.00, 90.00 degrees
Last column: nearest neighbours and their distance in Å.
Element x y z (fractional)
Se (0.0000, 0.0000, 0.5000)  2 O 2.14
Ir (0.5000, 0.5000, 0.5000)  8 Br 3.18, 4 Se 3.33
O (0.0000, 0.0000, 0.0000)  2 Se 2.14, 4 Br 2.36
Br (0.5000, 0.0000, 0.0000)  2 O 2.36
Br (0.0000, 0.5000, 0.0000)  2 O 2.36

Calculated values
space group	P4/mmm (123)
size of the total moment	2.01	μB/cell

Arrangement Q

## IrSeBr2O (GGA-PBE)

Data for a geometry-optimized IrSeBr2O structure.

Cell lengths 5.1406, 5.1406, 4.6770 Å; angles 90.00, 90.00, 90.00 degrees
Last column: nearest neighbours and their distance in Å.
Element x y z (fractional)
Br (0.0000, 0.5000, 0.0000)  2 Ir 2.57
O (0.5000, 0.5000, 0.5000)  8 Br 3.47, 4 Se 3.63
Ir (0.0000, 0.0000, 0.0000)  2 Se 2.34, 4 Br 2.57
Br (0.5000, 0.0000, 0.0000)  2 Ir 2.57
Se (0.0000, 0.0000, 0.5000)  2 Ir 2.34

Calculated values
space group	P4/mmm (123)
size of the total moment	0.00	μB/cell

The data favor arrangement Q; the next most stable structure lies 32.0 kJ/mol of atoms above it.

Arrangement P

## IrOs2Br (GGA-PBE)

Data for a geometry-optimized IrOs2Br structure.

Cell lengths 3.7564, 2.7866, 6.5910 Å; angles 90.00, 90.00, 90.00 degrees
Last column: nearest neighbours and their distance in Å.
Element x y z (fractional)
Ir (0.5000, 0.7500, 0.7500)  8 Os 2.66, 2 Ir 2.79
Br (0.5000, 0.2500, 0.2500)  4 Os 2.76, 2 Br 2.79
Os (0.0000, 0.2500, 0.5568)  3 Os 2.55-2.79, 4 Ir 2.66, 2 Br 2.76
Os (0.0000, 0.2500, 0.9432)  3 Os 2.55-2.79, 4 Ir 2.66, 2 Br 2.76

Calculated values
space group	Pmmm (47)
size of the total moment	0.00	μB/cell

Arrangement Q

## IrOs2Br (GGA-PBE)

Data for a geometry-optimized IrOs2Br structure.

Cell lengths 6.0118, 6.0118, 6.0118 Å; angles 153.36, 136.66, 51.60 degrees
Last column: nearest neighbours and their distance in Å.
Element x y z (fractional)
Ir (0.2167, 0.7167, 0.5000)  6 Os 2.72-2.86, 2 Ir 2.77
Br (0.5134, 0.5134, 0.0000)  4 Os 2.63, 2 Br 2.77
Os (0.7840, 0.2840, 0.5000)  4 Os 2.59-2.77, 4 Ir 2.72
Os (0.9860, 0.9860, 0.0000)  4 Os 2.59-2.77, 4 Br 2.63, 2 Ir 2.86

Calculated values
space group	Imm2 (44)
size of the total moment	0.00	μB/cell

Arrangement R

## IrOs2Br (GGA-PBE)

Data for a geometry-optimized IrOs2Br structure.

Cell lengths 4.6276, 4.6276, 7.7652 Å; angles 59.41, 59.41, 35.90 degrees
Last column: nearest neighbours and their distance in Å.
Element x y z (fractional)
Ir (0.7500, 0.7500, 0.7500)  6 Os 2.59-2.69, 2 Ir 2.85
Os (0.9603, 0.9603, 0.9047)  4 Os 2.55-2.85, 3 Ir 2.59-2.69, 2 Br 2.71
Os (0.5397, 0.5397, 0.5953)  4 Os 2.55-2.85, 3 Ir 2.59-2.69, 2 Br 2.71
Br (0.2500, 0.2500, 0.2500)  4 Os 2.71, 2 Br 2.85

Calculated values
space group	C2/m (12)
size of the total moment	0.00	μB/cell

Arrangement S

## IrOs2Br (GGA-PBE)

Data for a geometry-optimized IrOs2Br structure.

Cell lengths 2.7350, 2.7350, 11.5565 Å; angles 90.00, 90.00, 119.95 degrees
Last column: nearest neighbours and their distance in Å.
Element x y z (fractional)
Os (0.0000, 0.0000, 0.0027)  8 Os 2.60-2.74, 2 Ir 2.67
Os (0.5000, 0.5000, 0.1943)  8 Os 2.60-2.74
Ir (0.5000, 0.5000, 0.8045)  2 Os 2.67, 6 Ir 2.74
Br (0.0000, 0.0000, 0.4985)  6 Br 2.74

Calculated values
space group	Cmm2 (35)
size of the total moment	0.72	μB/cell

The data favor arrangement P; the next most stable structure lies 7.2 kJ/mol of atoms above it.